VASP calculation (PBE+U) on crystalline NaFeIrO6 at its relaxed geometry.

Output
* space group: P-31c (163)
* DFT total energy: -5.94 eV/atom

POSCAR file:
```
NaFeIrO6
1.0
5.204 0.000 0.000
-2.602 4.507 0.000
0.000 0.000 10.229
Na Fe Ir O
2 2 2 12
Cartesian
0.000 0.000 0.000
0.000 0.000 5.114
0.000 3.005 2.557
2.602 1.502 7.671
0.000 3.005 7.671
2.602 1.502 2.557
-0.911 1.716 6.615
-1.571 2.860 8.728
0.911 1.716 8.728
-0.660 4.437 6.615
1.942 0.069 1.500
1.031 1.647 3.614
1.571 2.860 6.615
0.660 4.437 8.728
3.262 0.069 3.614
1.691 2.790 1.500
4.173 1.647 1.500
3.513 2.790 3.614
```